{
  "formula": "Rb2SiPb",
  "functional": "GGA-PBE",
  "state": "relaxed",
  "e_above_lowest_polymorph_mev_per_atom": 255,
  "e_form_raw_mev_per_atom": 479,
  "spacegroup": "Fm-3m",
  "energy_ev_per_atom": -2.287,
  "lattice_angstrom": [[5.4810, -2.5769, 0.2431], [1.1952, -4.1890, 4.2148], [0.6945, -5.8033, -1.6062]],
  "species": ["Pb", "Si", "Rb", "Rb"],
  "fractional_positions": [[0.5000, 0.5000, 0.5000], [0.0000, 0.0000, 0.0000], [0.2500, 0.2500, 0.2500], [0.7500, 0.7500, 0.7500]]
}